1.
The following is a PBE calculation of a relaxed NdEr2PaAs4 crystal, from the Alexandria database.

Unit cell a=7.1163 b=4.1342 c=7.1675 alpha=90.00 beta=109.48 gamma=90.00
Last column: nearest neighbours and their distance in Å.
Space group P2/m (No. 10)
One atom of each set of equivalent atoms:
Nd 0.0000 0.0000 0.0000 (multiplicity 1)  6 As 2.96-2.97
Er 0.5000 0.0000 0.5000 (multiplicity 1)  6 As 2.87
Er 0.5000 0.5000 0.0000 (multiplicity 1)  6 As 2.92-2.94
Pa 0.0000 0.5000 0.5000 (multiplicity 1)  6 As 2.89-2.92
As 0.2535 0.0000 0.7452 (multiplicity 2)  3 Er 2.87-2.92, 2 Pa 2.92, 1 Nd 2.96
As 0.2562 0.5000 0.2603 (multiplicity 2)  3 Er 2.87-2.94, 1 Pa 2.89, 2 Nd 2.97

Values from the calculation:
ΔH_f (0 K): -1.39 eV per atom

---

2.
The following is a PBE calculation of a relaxed LiAs2W crystal, from the Alexandria database.

Unit cell a=2.8814 b=4.9475 c=4.8874 alpha=90.00 beta=104.92 gamma=90.00
Last column: nearest neighbours and their distance in Å.
Space group Pm (No. 6)
One atom of each set of equivalent atoms:
Li 0.0000 0.0000 0.0000 (multiplicity 1)  3 As 2.53-2.63
As 0.2974 0.0000 0.5354 (multiplicity 1)  3 Li 2.53-2.63, 2 W 2.62
As 0.6969 0.5000 0.2316 (multiplicity 1)  3 W 2.43-2.71
W 0.4109 0.5000 0.7176 (multiplicity 1)  5 As 2.43-2.71

Values from the calculation:
ΔH_f (0 K): 0.10 eV per atom

---

3.
The following is a PBE calculation of a relaxed ZnHgSe4 crystal, from the Alexandria database.

Unit cell a=8.2079 b=8.2079 c=8.2079 alpha=90.00 beta=90.00 gamma=90.00
Last column: nearest neighbours and their distance in Å.
Space group F-43m (No. 216)
One atom of each set of equivalent atoms:
Zn 0.0000 0.0000 0.0000 (multiplicity 4)  12 Se 3.40, 4 Hg 3.55
Hg 0.2500 0.2500 0.7500 (multiplicity 4)  12 Se 3.40, 4 Zn 3.55
Se 0.1249 0.1249 0.3751 (multiplicity 16)  6 Se 2.90-2.91

Values from the calculation:
Formation energy from raw total energies: 0.46 eV per atom

---

4.
The following is a PBE calculation of a relaxed LiSe2SCl crystal, from the Alexandria database.

Unit cell a=4.8360 b=4.8360 c=4.2517 alpha=90.00 beta=90.00 gamma=90.00
Last column: nearest neighbours and their distance in Å.
Space group P4/mmm (No. 123)
One atom of each set of equivalent atoms:
Li 0.0000 0.0000 0.0000 (multiplicity 1)  2 Cl 2.13
Se 0.0000 0.5000 0.0000 (multiplicity 2)  2 Li 2.42
S 0.5000 0.5000 0.5000 (multiplicity 1)  8 Se 3.22, 4 Cl 3.42
Cl 0.0000 0.0000 0.5000 (multiplicity 1)  2 Li 2.13

Values from the calculation:
Formation energy from raw total energies: 0.37 eV per atom

---

5.
The following is a PBE calculation of a relaxed Tl2SnHg2Pb crystal, from the Alexandria database.

Unit cell a=4.8436 b=9.9928 c=7.2550 alpha=90.00 beta=90.00 gamma=90.00
Last column: nearest neighbours and their distance in Å.
Space group Pmc2_1 (No. 26)
One atom of each set of equivalent atoms:
Tl 0.0000 0.0561 0.0000 (multiplicity 2)  3 Hg 3.20-3.36, 2 Tl 3.47
Tl 0.5000 0.1754 0.3014 (multiplicity 2)  4 Hg 3.19-3.32, 2 Tl 3.47
Sn 0.0000 0.3277 0.6175 (multiplicity 2)  4 Hg 3.11-3.16
Hg 0.0000 0.3646 0.1845 (multiplicity 2)  2 Sn 3.11-3.16, 3 Tl 3.19-3.36, 4 Pb 3.26-3.41
Hg 0.5000 0.1539 0.7443 (multiplicity 2)  2 Sn 3.12, 4 Tl 3.20-3.32, 1 Pb 3.36
Pb 0.5000 0.4660 0.9180 (multiplicity 2)  5 Hg 3.26-3.41, 4 Sn 3.49-3.54

Values from the calculation:
ΔH_f (0 K): 0.02 eV per atom

---

6.
The following is a PBE calculation of a relaxed NiTePd crystal, from the Alexandria database.

Unit cell a=4.0889 b=4.0891 c=6.1862 alpha=84.09 beta=83.97 gamma=89.48
Last column: nearest neighbours and their distance in Å.
Space group P-1 (No. 2)
One atom of each set of equivalent atoms:
Ni 0.2418 0.2575 0.0001 (multiplicity 2)  4 Te 2.59-2.63, 4 Pd 2.74-2.76, 2 Ni 2.79-2.90
Te 0.2212 0.7218 0.2651 (multiplicity 2)  4 Ni 2.59-2.63, 4 Pd 2.79-2.89
Pd 0.3026 0.8016 0.6987 (multiplicity 2)  4 Ni 2.74-2.76, 5 Te 2.79-3.02

Values from the calculation:
Formation energy from raw total energies: -0.19 eV per atom

---

7.
The following is a PBE calculation of a relaxed WSeS2Cl crystal, from the Alexandria database.

Unit cell a=4.7020 b=4.7020 c=4.7140 alpha=90.00 beta=90.00 gamma=90.00
Last column: nearest neighbours and their distance in Å.
Space group P4/mmm (No. 123)
One atom of each set of equivalent atoms:
W 0.0000 0.0000 0.0000 (multiplicity 1)  4 S 2.35, 2 Cl 2.36
Se 0.5000 0.5000 0.5000 (multiplicity 1)  4 Cl 3.32, 8 S 3.33
S 0.0000 0.5000 0.0000 (multiplicity 2)  2 W 2.35
Cl 0.0000 0.0000 0.5000 (multiplicity 1)  2 W 2.36

Values from the calculation:
Formation energy from raw total energies: 0.29 eV per atom

---

8.
The following is a PBE calculation of a relaxed Ag6PbCl12 crystal, from the Alexandria database.

Unit cell a=10.7892 b=10.7892 c=18.7895 alpha=90.00 beta=90.00 gamma=120.00
Last column: nearest neighbours and their distance in Å.
Space group R-3 (No. 148, hexagonal axes)
One atom of each set of equivalent atoms:
Ag 0.0410 0.2612 0.1636 (multiplicity 18)  4 Cl 2.51-2.62
Pb 0.0000 0.0000 0.5000 (multiplicity 3)  6 Cl 2.85
Cl 0.0331 0.2040 0.8820 (multiplicity 18)  3 Ag 2.53-2.62
Cl 0.0798 0.5080 0.0841 (multiplicity 18)  1 Ag 2.51

Values from the calculation:
Formation energy from raw total energies: -0.47 eV per atom

---

9.
The following is a PBE calculation of a relaxed Zr2ReBiS crystal, from the Alexandria database.

Unit cell a=5.4790 b=5.4790 c=5.0318 alpha=90.00 beta=90.00 gamma=90.00
Last column: nearest neighbours and their distance in Å.
Space group P4/mmm (No. 123)
One atom of each set of equivalent atoms:
Zr 0.0000 0.5000 0.0000 (multiplicity 2)  2 Bi 2.74
Re 0.0000 0.0000 0.5000 (multiplicity 1)  8 Zr 3.72, 4 S 3.87
Bi 0.5000 0.5000 0.0000 (multiplicity 1)  2 S 2.52, 4 Zr 2.74
S 0.5000 0.5000 0.5000 (multiplicity 1)  2 Bi 2.52

Values from the calculation:
Formation energy from raw total energies: 1.89 eV per atom

---

10.
The following is a PBE calculation of a relaxed LiAcThSe4 crystal, from the Alexandria database.

Unit cell a=6.8400 b=6.8662 c=8.4625 alpha=90.00 beta=107.88 gamma=90.00
Last column: nearest neighbours and their distance in Å.
Space group P2_1/m (No. 11)
One atom of each set of equivalent atoms:
Li 0.2406 0.2500 0.3169 (multiplicity 2)  4 Se 2.41-2.45
Ac 0.2411 0.7500 0.0584 (multiplicity 2)  6 Se 2.99-3.28
Th 0.2257 0.7500 0.5566 (multiplicity 2)  6 Se 2.90-3.02
Se 0.0176 0.0097 0.7360 (multiplicity 4)  1 Li 2.45
Se 0.4399 0.2500 0.1239 (multiplicity 2)  1 Li 2.43
Se 0.4545 0.2500 0.6019 (multiplicity 2)  1 Li 2.41

Values from the calculation:
Formation energy from raw total energies: -1.66 eV per atom

---

11.
The following is a PBE calculation of a relaxed Tl5Sn2O6 crystal, from the Alexandria database.

Unit cell a=10.8516 b=7.4949 c=15.1908 alpha=90.00 beta=98.40 gamma=90.00
Last column: nearest neighbours and their distance in Å.
Space group C2/c (No. 15)
One atom of each set of equivalent atoms:
Tl 0.0000 0.0123 0.2500 (multiplicity 4)  2 O 2.54
Tl 0.0817 0.2367 0.9682 (multiplicity 8)  3 O 2.55-2.84
Tl 0.1229 0.4651 0.1831 (multiplicity 8)  3 O 2.59-2.66
Sn 0.2480 0.3504 0.4118 (multiplicity 8)  4 O 1.98-2.08
O 0.1064 0.1954 0.6524 (multiplicity 8)  1 Sn 2.00
O 0.1172 0.4836 0.8558 (multiplicity 8)  1 Sn 1.98
O 0.1863 0.1071 0.4544 (multiplicity 8)  2 Sn 2.08

Values from the calculation:
Formation energy from raw total energies: -0.89 eV per atom

---

12.
The following is a PBE calculation of a relaxed Ca3DyHf2As6 crystal, from the Alexandria database.

Unit cell a=6.9530 b=12.0585 c=7.2364 alpha=90.00 beta=108.81 gamma=90.00
Last column: nearest neighbours and their distance in Å.
Space group C2/m (No. 12)
One atom of each set of equivalent atoms:
Ca 0.0000 0.0000 0.0000 (multiplicity 2)  6 As 2.91-3.01
Ca 0.0000 0.3373 0.0000 (multiplicity 4)  6 As 2.93-3.02
Dy 0.0000 0.5000 0.5000 (multiplicity 2)  6 As 2.87
Hf 0.0000 0.1675 0.5000 (multiplicity 4)  6 As 2.75-2.76
As 0.2284 0.0000 0.7262 (multiplicity 4)  2 Hf 2.76, 1 Dy 2.87, 3 Ca 2.91-2.99
As 0.2502 0.1734 0.2721 (multiplicity 8)  2 Hf 2.75-2.76, 1 Dy 2.87, 3 Ca 2.93-3.02

Values from the calculation:
ΔH_f (0 K): -1.18 eV per atom

---

13.
The following is a PBE calculation of a relaxed In3FeRh4 crystal, from the Alexandria database.

Unit cell a=3.1335 b=3.1335 c=13.1403 alpha=90.00 beta=90.00 gamma=90.00
Last column: nearest neighbours and their distance in Å.
Space group P4/mmm (No. 123)
One atom of each set of equivalent atoms:
In 0.0000 0.0000 0.0000 (multiplicity 1)  8 Rh 2.80, 4 In 3.13
In 0.0000 0.0000 0.2605 (multiplicity 2)  8 Rh 2.80-2.81
Fe 0.0000 0.0000 0.5000 (multiplicity 1)  8 Rh 2.63
Rh 0.5000 0.5000 0.1308 (multiplicity 2)  8 In 2.80
Rh 0.5000 0.5000 0.3918 (multiplicity 2)  4 Fe 2.63, 4 In 2.81, 1 Rh 2.84

Values from the calculation:
ΔH_f (0 K): -0.32 eV per atom

---

14.
The following is a PBE calculation of a relaxed MnAu2Cl crystal, from the Alexandria database.

Unit cell a=3.6795 b=3.2262 c=7.1470 alpha=90.00 beta=90.50 gamma=90.00
Last column: nearest neighbours and their distance in Å.
Space group Pm (No. 6)
One atom of each set of equivalent atoms:
Mn 0.0000 0.0000 0.0000 (multiplicity 1)  2 Cl 2.42
Au 0.4969 0.5000 0.8208 (multiplicity 1)  4 Mn 2.76, 4 Au 2.85
Au 0.9934 0.0000 0.6153 (multiplicity 1)  1 Mn 2.75, 4 Au 2.85, 2 Cl 3.06
Cl 0.0054 0.5000 0.2521 (multiplicity 1)  2 Mn 2.42

Values from the calculation:
Formation energy from raw total energies: -0.16 eV per atom

---

15.
The following is a PBE calculation of a relaxed Tb6ErAl crystal, from the Alexandria database.

Unit cell a=4.8626 b=4.8626 c=9.9444 alpha=90.00 beta=90.00 gamma=90.00
Last column: nearest neighbours and their distance in Å.
Space group P4/mmm (No. 123)
One atom of each set of equivalent atoms:
Tb 0.0000 0.0000 0.0000 (multiplicity 1)  8 Tb 3.40, 4 Al 3.44
Tb 0.0000 0.0000 0.5000 (multiplicity 1)  4 Er 3.44, 8 Tb 3.55
Tb 0.0000 0.5000 0.2396 (multiplicity 4)  8 Tb 3.40-3.55, 2 Al 3.40, 2 Er 3.55
Er 0.5000 0.5000 0.5000 (multiplicity 1)  12 Tb 3.44-3.55
Al 0.5000 0.5000 0.0000 (multiplicity 1)  12 Tb 3.40-3.44

Values from the calculation:
ΔH_f (0 K): -0.07 eV per atom

---

16.
The following is a PBE calculation of a relaxed Sr2Hg2Se crystal, from the Alexandria database.

Unit cell a=6.1451 b=6.1451 c=9.3786 alpha=90.00 beta=90.00 gamma=90.00
Last column: nearest neighbours and their distance in Å.
Space group I4/mmm (No. 139)
One atom of each set of equivalent atoms:
Sr 0.0000 0.5000 0.2500 (multiplicity 4)  4 Hg 3.21
Hg 0.0000 0.0000 0.1505 (multiplicity 4)  1 Hg 2.82
Se 0.0000 0.0000 0.5000 (multiplicity 2)  2 Hg 3.28

Values from the calculation:
Formation energy from raw total energies: -0.47 eV per atom

---

17.
The following is a PBE calculation of a relaxed SbPbO3 crystal, from the Alexandria database.

Unit cell a=5.7075 b=5.7075 c=13.5295 alpha=90.00 beta=90.00 gamma=120.00
Last column: nearest neighbours and their distance in Å.
Space group P-31c (No. 163)
One atom of each set of equivalent atoms:
Sb 0.0000 0.0000 0.2500 (multiplicity 2)  6 O 2.03
Sb 0.3333 0.6667 0.2500 (multiplicity 2)  6 O 2.30
Pb 0.3333 0.6667 0.5871 (multiplicity 4)  3 O 2.31
O 0.0071 0.2982 0.1658 (multiplicity 12)  1 Sb 2.03

Values from the calculation:
Formation energy from raw total energies: -1.20 eV per atom

---

18.
The following is a PBE calculation of a relaxed Mn2GaWC crystal, from the Alexandria database.

Unit cell a=3.8371 b=3.8371 c=4.2027 alpha=90.00 beta=90.00 gamma=90.00
Last column: nearest neighbours and their distance in Å.
Space group P4/mmm (No. 123)
One atom of each set of equivalent atoms:
Mn 0.0000 0.5000 0.0000 (multiplicity 2)  2 C 1.92
Ga 0.0000 0.0000 0.5000 (multiplicity 1)  4 W 2.71, 8 Mn 2.85
W 0.5000 0.5000 0.5000 (multiplicity 1)  2 C 2.10
C 0.5000 0.5000 0.0000 (multiplicity 1)  4 Mn 1.92, 2 W 2.10

Values from the calculation:
ΔH_f (0 K): 0.05 eV per atom

---

19.
The following is a PBE calculation of a relaxed Nd3TeHIr crystal, from the Alexandria database.

Unit cell a=8.6152 b=4.2212 c=8.8717 alpha=90.00 beta=106.54 gamma=90.00
Last column: nearest neighbours and their distance in Å.
Space group P2_1/m (No. 11)
One atom of each set of equivalent atoms:
Nd 0.0647 0.2500 0.2703 (multiplicity 2)  3 Ir 2.84-3.06
Nd 0.3110 0.2500 0.9543 (multiplicity 2)  3 H 2.36-2.43
Nd 0.3160 0.7500 0.6098 (multiplicity 2)  1 H 2.45
Te 0.3712 0.7500 0.2551 (multiplicity 2)  3 H 3.26-3.40, 7 Nd 3.31-3.41
H 0.4040 0.7500 0.8981 (multiplicity 2)  4 Nd 2.36-2.45
Ir 0.0972 0.2500 0.6226 (multiplicity 2)  6 Nd 2.84-3.06, 2 Ir 3.15

Values from the calculation:
Final energy: -69.60 eV/cell

---

20.
The following is a PBE calculation of a relaxed Sm2DyPa crystal, from the Alexandria database.

Unit cell a=4.9770 b=4.9770 c=4.9332 alpha=90.00 beta=90.00 gamma=90.00
Last column: nearest neighbours and their distance in Å.
Space group P4/mmm (No. 123)
One atom of each set of equivalent atoms:
Sm 0.0000 0.5000 0.0000 (multiplicity 2)  4 Dy 3.50, 4 Pa 3.50, 4 Sm 3.52
Dy 0.0000 0.0000 0.5000 (multiplicity 1)  8 Sm 3.50, 4 Pa 3.52
Pa 0.5000 0.5000 0.5000 (multiplicity 1)  8 Sm 3.50, 4 Dy 3.52

Values from the calculation:
ΔH_f (0 K): 0.24 eV per atom

---

Total magnetization per entry: 0.40; 0.00; 0.00; 0.00; 0.00; 0.00; 0.23; 0.00; 1.76; 0.00; 0.00; 0.00; 4.28; 4.14; 0.00; 0.00; 0.00; 3.81; 0.00; 0.00 Bohr magnetons per cell